Compound: TaRe2P
Source: Alexandria via LeMat-Bulk
Functional: PBE
Structure: relaxed

Output
Offset from the most stable computed form = 343 meV per atom
ΔE_f = 3.239 kcal/mol of atoms
Crystal system = tetragonal
Symmetry = I-4m2 (119)

Cell: 3.7307 3.7307 8.5853 Å, 90.00 90.00 90.00°
Fractional coordinates of all 8 atoms:
Ta1 0.0000 0.0000 0.0000
Ta2 0.5000 0.5000 0.5000
Re1 0.0000 0.0000 0.5000
Re2 0.0000 0.5000 0.2500
Re3 0.5000 0.0000 0.7500
Re4 0.5000 0.5000 0.0000
P1 0.0000 0.5000 0.7500
P2 0.5000 0.0000 0.2500

Compound: TaRe2P
Source: Alexandria via LeMat-Bulk
Functional: PBE
Structure: relaxed

Output
Offset from the most stable computed form = 305 meV per atom
ΔE_f = 2.369 kcal/mol of atoms
Crystal system = cubic
Symmetry = Fm-3m (225)

Cell: 6.2120 6.2120 6.2120 Å, 90.00 90.00 90.00°
Fractional coordinates of all 16 atoms:
Ta1 0.0000 0.0000 0.0000
Ta2 0.0000 0.5000 0.5000
Ta3 0.5000 0.0000 0.5000
Ta4 0.5000 0.5000 0.0000
Re1 0.2500 0.2500 0.2500
Re2 0.2500 0.2500 0.7500
Re3 0.2500 0.7500 0.2500
Re4 0.2500 0.7500 0.7500
Re5 0.7500 0.2500 0.2500
Re6 0.7500 0.2500 0.7500
Re7 0.7500 0.7500 0.2500
Re8 0.7500 0.7500 0.7500
P1 0.0000 0.0000 0.5000
P2 0.0000 0.5000 0.0000
P3 0.5000 0.0000 0.0000
P4 0.5000 0.5000 0.5000

Compound: Ta2ReP
Source: Alexandria via LeMat-Bulk
Functional: PBE
Structure: relaxed

Output
Offset from the most stable computed form = 374 meV per atom
ΔE_f = -1.496 kcal/mol of atoms
Crystal system = orthorhombic
Symmetry = Cmm2 (35)

Cell: 3.3230 4.8092 8.0526 Å, 90.00 90.00 90.00°
Fractional coordinates of all 8 atoms:
Ta1 0.0000 0.0000 0.0000
Ta2 0.0000 0.5000 0.2877
Ta3 0.5000 0.0000 0.2877
Ta4 0.5000 0.5000 0.0000
Re1 0.0000 0.5000 0.7290
Re2 0.5000 0.0000 0.7290
P1 0.0000 0.0000 0.5151
P2 0.5000 0.5000 0.5151

Compound: TaReP3
Source: Alexandria via LeMat-Bulk
Functional: PBE
Structure: relaxed

Output
Offset from the most stable computed form = 0 meV per atom
ΔE_f = 25.377 kcal/mol of atoms
Crystal system = cubic
Symmetry = Pm-3m (221)

Cell: 4.5959 4.5959 4.5959 Å, 90.00 90.00 90.00°
Fractional coordinates of all 5 atoms:
Ta1 0.0000 0.0000 0.0000
Re1 0.5000 0.5000 0.5000
P1 0.0000 0.5000 0.5000
P2 0.5000 0.0000 0.5000
P3 0.5000 0.5000 0.0000

Compound: Ta2ReP
Source: Alexandria via LeMat-Bulk
Functional: PBE
Structure: relaxed

Output
Offset from the most stable computed form = 369 meV per atom
ΔE_f = -1.607 kcal/mol of atoms
Crystal system = tetragonal
Symmetry = P4/mmm (123)

Cell: 4.4640 4.4640 3.2051 Å, 90.00 90.00 90.00°
Fractional coordinates of all 4 atoms:
Ta1 0.0000 0.5000 0.0000
Ta2 0.5000 0.0000 0.0000
Re1 0.0000 0.0000 0.5000
P1 0.5000 0.5000 0.5000

Compound: TaRe2P
Source: Alexandria via LeMat-Bulk
Functional: PBE
Structure: relaxed

Output
Offset from the most stable computed form = 348 meV per atom
ΔE_f = 3.363 kcal/mol of atoms
Crystal system = orthorhombic
Symmetry = Cmmm (65)

Cell: 3.1402 4.8289 8.0697 Å, 90.00 90.00 90.00°
Fractional coordinates of all 8 atoms:
Ta1 0.0000 0.0000 0.0000
Ta2 0.5000 0.5000 0.0000
Re1 0.0000 0.5000 0.2781
Re2 0.0000 0.5000 0.7219
Re3 0.5000 0.0000 0.2781
Re4 0.5000 0.0000 0.7219
P1 0.0000 0.0000 0.5000
P2 0.5000 0.5000 0.5000

Compound: Ta2ReP
Source: Alexandria via LeMat-Bulk
Functional: PBE
Structure: relaxed

Output
Offset from the most stable computed form = 517 meV per atom
ΔE_f = 1.816 kcal/mol of atoms
Crystal system = cubic
Symmetry = Fm-3m (225)

Cell: 6.3582 6.3582 6.3582 Å, 90.00 90.00 90.00°
Fractional coordinates of all 16 atoms:
Ta1 0.2500 0.2500 0.2500
Ta2 0.2500 0.2500 0.7500
Ta3 0.2500 0.7500 0.2500
Ta4 0.2500 0.7500 0.7500
Ta5 0.7500 0.2500 0.2500
Ta6 0.7500 0.2500 0.7500
Ta7 0.7500 0.7500 0.2500
Ta8 0.7500 0.7500 0.7500
Re1 0.0000 0.0000 0.0000
Re2 0.0000 0.5000 0.5000
Re3 0.5000 0.0000 0.5000
Re4 0.5000 0.5000 0.0000
P1 0.0000 0.0000 0.5000
P2 0.0000 0.5000 0.0000
P3 0.5000 0.0000 0.0000
P4 0.5000 0.5000 0.5000

Compound: TaRe2P
Source: Alexandria via LeMat-Bulk
Functional: PBE
Structure: relaxed

Output
Offset from the most stable computed form = 289 meV per atom
ΔE_f = 1.994 kcal/mol of atoms
Crystal system = monoclinic
Symmetry = P2/m (10)

Cell: 2.9118 4.3776 4.8263 Å, 90.00 92.90 90.00°
Fractional coordinates of all 4 atoms:
Ta1 0.0000 0.0000 0.0000
Re1 0.3453 0.5000 0.7440
Re2 0.6547 0.5000 0.2560
P1 0.5000 0.0000 0.5000

Compound: TaReP2
Source: Alexandria via LeMat-Bulk
Functional: PBE
Structure: relaxed

Output
Offset from the most stable computed form = 70 meV per atom
ΔE_f = -10.157 kcal/mol of atoms
Crystal system = tetragonal
Symmetry = P4mm (99)

Cell: 3.1719 3.1719 5.7233 Å, 90.00 90.00 90.00°
Fractional coordinates of all 4 atoms:
Ta1 0.0000 0.0000 0.0000
Re1 0.5000 0.5000 0.6453
P1 0.0000 0.0000 0.4651
P2 0.5000 0.5000 0.1938

Compound: Ta2ReP
Source: Alexandria via LeMat-Bulk
Functional: PBE
Structure: relaxed

Output
Offset from the most stable computed form = 469 meV per atom
ΔE_f = 0.711 kcal/mol of atoms
Crystal system = trigonal
Symmetry = R3m (160)

Cell: 2.9561 2.9561 25.7660 Å, 90.00 90.00 120.00°
Fractional coordinates of all 12 atoms:
Ta1 0.0000 0.0000 0.0000
Ta2 0.0000 0.0000 0.2365
Ta3 0.3333 0.6667 0.6667
Ta4 0.3333 0.6667 0.9032
Ta5 0.6667 0.3333 0.3333
Ta6 0.6667 0.3333 0.5699
Re1 0.0000 0.0000 0.7566
Re2 0.3333 0.6667 0.4233
Re3 0.6667 0.3333 0.0900
P1 0.0000 0.0000 0.4901
P2 0.3333 0.6667 0.1568
P3 0.6667 0.3333 0.8234

Compound: Ta2ReP
Source: Alexandria via LeMat-Bulk
Functional: PBE
Structure: relaxed

Output
Offset from the most stable computed form = 1381 meV per atom
ΔE_f = 21.741 kcal/mol of atoms
Crystal system = tetragonal
Symmetry = I-42d (122)

Cell: 5.4926 5.4926 12.4642 Å, 90.00 90.00 90.00°
Fractional coordinates of all 16 atoms:
Ta1 0.2395 0.2500 0.1250
Ta2 0.2500 0.7395 0.3750
Ta3 0.2500 0.7605 0.8750
Ta4 0.2605 0.2500 0.6250
Ta5 0.7395 0.7500 0.6250
Ta6 0.7500 0.2395 0.8750
Ta7 0.7500 0.2605 0.3750
Ta8 0.7605 0.7500 0.1250
Re1 0.0000 0.0000 0.5000
Re2 0.0000 0.5000 0.7500
Re3 0.5000 0.0000 0.2500
Re4 0.5000 0.5000 0.0000
P1 0.0000 0.0000 0.0000
P2 0.0000 0.5000 0.2500
P3 0.5000 0.0000 0.7500
P4 0.5000 0.5000 0.5000

Compound: Ta2ReP
Source: Alexandria via LeMat-Bulk
Functional: PBE
Structure: relaxed

Output
Offset from the most stable computed form = 380 meV per atom
ΔE_f = -1.359 kcal/mol of atoms
Crystal system = orthorhombic
Symmetry = Pmmm (47)

Cell: 3.3296 4.1735 4.5599 Å, 90.00 90.00 90.00°
Fractional coordinates of all 4 atoms:
Ta1 0.0000 0.0000 0.0000
Ta2 0.5000 0.0000 0.5000
Re1 0.0000 0.5000 0.5000
P1 0.5000 0.5000 0.0000

Compound: TaReP
Source: Alexandria via LeMat-Bulk
Functional: PBE
Structure: relaxed

Output
Offset from the most stable computed form = 376 meV per atom
ΔE_f = 2.088 kcal/mol of atoms
Crystal system = cubic
Symmetry = F-43m (216)

Cell: 5.9504 5.9504 5.9504 Å, 90.00 90.00 90.00°
Fractional coordinates of all 12 atoms:
Ta1 0.0000 0.0000 0.0000
Ta2 0.0000 0.5000 0.5000
Ta3 0.5000 0.0000 0.5000
Ta4 0.5000 0.5000 0.0000
Re1 0.2500 0.2500 0.2500
Re2 0.2500 0.7500 0.7500
Re3 0.7500 0.2500 0.7500
Re4 0.7500 0.7500 0.2500
P1 0.0000 0.0000 0.5000
P2 0.0000 0.5000 0.0000
P3 0.5000 0.0000 0.0000
P4 0.5000 0.5000 0.5000

Compound: TaReP2
Source: Alexandria via LeMat-Bulk
Functional: PBE
Structure: relaxed

Output
Offset from the most stable computed form = 684 meV per atom
ΔE_f = 4.015 kcal/mol of atoms
Crystal system = tetragonal
Symmetry = I-42d (122)

Cell: 4.5719 4.5719 13.9966 Å, 90.00 90.00 90.00°
Fractional coordinates of all 16 atoms:
Ta1 0.0000 0.0000 0.0000
Ta2 0.0000 0.5000 0.2500
Ta3 0.5000 0.0000 0.7500
Ta4 0.5000 0.5000 0.5000
Re1 0.0000 0.0000 0.5000
Re2 0.0000 0.5000 0.7500
Re3 0.5000 0.0000 0.2500
Re4 0.5000 0.5000 0.0000
P1 0.2153 0.2500 0.6250
P2 0.2500 0.7153 0.8750
P3 0.2500 0.7847 0.3750
P4 0.2847 0.2500 0.1250
P5 0.7153 0.7500 0.1250
P6 0.7500 0.2153 0.3750
P7 0.7500 0.2847 0.8750
P8 0.7847 0.7500 0.6250

Compound: TaRe2P
Source: Alexandria via LeMat-Bulk
Functional: PBE
Structure: relaxed

Output
Offset from the most stable computed form = 0 meV per atom
ΔE_f = -4.660 kcal/mol of atoms
Crystal system = orthorhombic
Symmetry = Immm (71)

Cell: 2.9442 4.4453 9.0823 Å, 90.00 90.00 90.00°
Fractional coordinates of all 8 atoms:
Ta1 0.0000 0.0000 0.0000
Ta2 0.5000 0.5000 0.5000
Re1 0.0000 0.5000 0.2138
Re2 0.0000 0.5000 0.7862
Re3 0.5000 0.0000 0.2862
Re4 0.5000 0.0000 0.7138
P1 0.0000 0.0000 0.5000
P2 0.5000 0.5000 0.0000